## YCdGa (PBE)

Data for YCdGa after structural relaxation.

```
YCdGa
1.0
5.503 0.000 0.000
0.000 3.436 0.000
-2.266 0.000 7.481
Y Cd Ga
2 2 2
Direct
0.000 0.000 0.000
0.217 0.000 0.616
0.413 0.500 0.325
0.497 0.500 0.973
0.748 0.500 0.662
0.905 0.500 0.304
```

Computed properties:
The density is 6362 kg/m³.

## YCdGa (PBE)

Data for YCdGa after structural relaxation.

```
YCdGa
1.0
4.704 0.000 0.000
0.000 3.532 0.000
0.000 0.000 8.182
Y Cd Ga
2 2 2
Direct
0.250 0.000 0.225
0.750 0.000 0.775
0.250 0.500 0.586
0.750 0.500 0.414
0.250 0.500 0.916
0.750 0.500 0.084
```

Computed properties:
The density is 6621 kg/m³.

## YCdGa (PBE)

Data for YCdGa after structural relaxation.

```
YCdGa
1.0
3.707 0.000 0.000
-0.001 4.649 0.000
-1.852 -1.711 8.226
Y Cd Ga
2 2 2
Direct
0.000 0.000 0.000
0.249 0.672 0.499
0.664 0.111 0.329
0.833 0.206 0.666
0.430 0.502 0.861
0.586 0.552 0.168
```

Computed properties:
The density is 6349 kg/m³.

## Y4CdGa3 (PBE)

Data for Y4CdGa3 after structural relaxation.

```
Y4CdGa3
1.0
5.125 0.000 0.000
0.000 5.125 0.000
0.000 0.000 7.246
Y Cd Ga
4 1 3
Direct
0.000 0.500 0.244
0.000 0.500 0.756
0.500 0.000 0.244
0.500 0.000 0.756
0.000 0.000 0.500
0.000 0.000 0.000
0.500 0.500 0.000
0.500 0.500 0.500
```

Computed properties:
The density is 5908 kg/m³.

## YCdGa2 (PBE)

Data for YCdGa2 after structural relaxation.

```
YCdGa2
1.0
2.233 1.289 5.061
-2.233 1.289 5.061
0.000 -2.579 5.061
Y Cd Ga
1 1 2
Direct
0.000 0.000 0.000
0.500 0.500 0.500
0.229 0.229 0.229
0.771 0.771 0.771
```

Computed properties:
The density is 6470 kg/m³.

## YCdGa (PBE)

Data for YCdGa after structural relaxation.

```
YCdGa
1.0
7.312 0.000 0.000
0.000 4.383 0.000
0.000 0.000 8.476
Y Cd Ga
4 4 4
Direct
0.023 0.250 0.183
0.477 0.750 0.683
0.523 0.250 0.317
0.977 0.750 0.817
0.150 0.250 0.559
0.350 0.750 0.059
0.650 0.250 0.941
0.850 0.750 0.441
0.249 0.750 0.379
0.251 0.250 0.879
0.749 0.750 0.121
0.751 0.250 0.621
```

Computed properties:
The density is 6627 kg/m³.

## YCdGa (PBE)

Data for YCdGa after structural relaxation.

```
YCdGa
1.0
8.369 -1.887 0.000
8.369 1.887 0.000
-0.915 0.000 4.495
Y Cd Ga
2 2 2
Direct
0.000 0.000 0.000
0.247 0.247 0.678
0.417 0.417 0.469
0.663 0.663 0.120
0.580 0.580 0.558
0.824 0.824 0.165
```

Computed properties:
The density is 6338 kg/m³.

## YCdGa (PBE)

Data for YCdGa after structural relaxation.

```
YCdGa
1.0
-1.722 1.722 5.816
1.722 -1.722 5.816
1.722 1.722 -5.816
Y Cd Ga
1 1 1
Direct
0.000 0.000 0.000
0.312 0.312 0.000
0.666 0.666 0.000
```

Computed properties:
The density is 6523 kg/m³.

no.,size of the total moment (μB/f.u.),formation energy (eV per formula unit)
1,0.000,-1.01
2,0.000,-1.42
3,0.000,-1.09
4,0.000,-4.33
5,0.000,-1.40
6,0.000,-1.51
7,0.000,-1.08
8,0.263,-0.90